1.
This record from the Alexandria database describes a crystal of ZnCo2CuW relaxed with PBEsol. The functional is SCAN.

Values from the calculation:
DFT total energy in eV per atom: -25.2092
Crystal system: tetragonal
Energy of formation in eV per atom: 1.39

Lattice parameters (Å, degrees): 4.183 4.183 4.098 90.00 90.00 90.00
Space group P4/mmm (No. 123)
Asymmetric unit:
Zn 0.000 0.000 0.000 x1
Co 0.000 0.500 0.000 x2
Cu 0.000 0.000 0.500 x1
W 0.500 0.500 0.500 x1

***

2.
This record from the Alexandria database describes a crystal of Pr12Ni6Pb relaxed with PBEsol. The functional is SCAN.

Values from the calculation:
DFT total energy in eV per atom: -36.7635
Crystal system: cubic
Energy of formation in eV per atom: -0.30

Lattice parameters (Å, degrees): 9.973 9.973 9.973 90.00 90.00 90.00
Space group Im-3 (No. 204)
Asymmetric unit:
Pr 0.000 0.186 0.307 x24
Ni 0.000 0.379 0.500 x12
Pb 0.000 0.000 0.000 x2

***

3.
This record from the Alexandria database describes a crystal of Li2CuAg relaxed with PBEsol. The functional is SCAN.

Values from the calculation:
DFT total energy in eV per atom: -12.8904
Crystal system: monoclinic
Energy of formation in eV per atom: -0.05

Lattice parameters (Å, degrees): 5.431 7.514 2.718 90.00 90.24 90.00
Space group C2/m (No. 12)
Asymmetric unit:
Li 0.250 0.250 0.000 x4
Cu 0.000 0.000 0.500 x2
Ag 0.000 0.500 0.500 x2

***

4.
This record from the Alexandria database describes a crystal of Ge2TeI relaxed with PBEsol. The functional is SCAN.

Values from the calculation:
DFT total energy in eV per atom: -27.6684
Crystal system: cubic
Formation energy (no corrections) in eV per atom: 0.374

Lattice parameters (Å, degrees): 7.339 7.339 7.339 90.00 90.00 90.00
Space group Fm-3m (No. 225)
Asymmetric unit:
Ge 0.250 0.250 0.250 x8
Te 0.000 0.000 0.000 x4
I 0.000 0.000 0.500 x4

***

5.
This record from the Alexandria database describes a crystal of Si2MoAs relaxed with PBEsol. The functional is SCAN.

Values from the calculation:
DFT total energy in eV per atom: -18.5151
Crystal system: monoclinic
Formation energy (no corrections) in eV per atom: 0.262

Lattice parameters (Å, degrees): 8.781 3.131 4.322 90.00 94.96 90.00
Space group C2/m (No. 12)
Asymmetric unit:
Si 0.233 0.000 0.222 x4
Mo 0.000 0.500 0.000 x2
As 0.000 0.000 0.500 x2

***

6.
This record from the Alexandria database describes a crystal of AlZn2 relaxed with PBEsol. The functional is SCAN.

Values from the calculation:
DFT total energy in eV per atom: -11.4124
Crystal system: tetragonal
Energy of formation in eV per atom: 0.18

Lattice parameters (Å, degrees): 6.208 6.208 5.063 90.00 90.00 90.00
Space group I4/mcm (No. 140)
Asymmetric unit:
Al 0.000 0.000 0.250 x4
Zn 0.145 0.355 0.000 x8

***

7.
This record from the Alexandria database describes a crystal of ScTaIr2 relaxed with PBEsol. The functional is SCAN.

Values from the calculation:
DFT total energy in eV per atom: -56.6330
Crystal system: tetragonal
Energy of formation in eV per atom: -0.88

Lattice parameters (Å, degrees): 4.677 4.677 2.940 90.00 90.00 90.00
Space group P4/mmm (No. 123)
Asymmetric unit:
Sc 0.000 0.000 0.000 x1
Ta 0.500 0.500 0.000 x1
Ir 0.000 0.500 0.500 x2

***

8.
This record from the Alexandria database describes a crystal of K4FeP relaxed with PBEsol. The functional is SCAN.

Values from the calculation:
DFT total energy in eV per atom: -9.4921
Crystal system: cubic
Energy of formation in eV per atom: 0.82

Lattice parameters (Å, degrees): 9.157 9.157 9.157 90.00 90.00 90.00
Space group F-43m (No. 216)
Asymmetric unit:
K 0.123 0.123 0.123 x16
Fe 0.000 0.000 0.500 x4
P 0.250 0.250 0.750 x4

***

9.
This record from the Alexandria database describes a crystal of Ti3N2O3 relaxed with PBEsol. The functional is SCAN.

Values from the calculation:
DFT total energy in eV per atom: -13.2790
Crystal system: orthorhombic
Formation energy (no corrections) in eV per atom: -2.608
Distance to the lowest polymorph of the same formula in meV per atom: 3.6

Lattice parameters (Å, degrees): 3.814 9.711 9.793 90.00 90.00 90.00
Space group Cmcm (No. 63)
Asymmetric unit:
Ti 0.000 0.144 0.053 x8
Ti 0.000 0.200 0.750 x4
N 0.000 0.308 0.577 x8
O 0.000 0.045 0.619 x8
O 0.000 0.248 0.250 x4

***

10.
This record from the Alexandria database describes a crystal of BeAlAg relaxed with PBEsol. The functional is SCAN.

Values from the calculation:
DFT total energy in eV per atom: -14.4193
Crystal system: orthorhombic
Energy of formation in eV per atom: 0.07

Lattice parameters (Å, degrees): 2.970 3.493 7.883 90.00 90.00 90.00
Space group Imm2 (No. 44)
Asymmetric unit:
Be 0.000 0.000 0.000 x2
Al 0.000 0.000 0.335 x2
Ag 0.000 0.000 0.659 x2

***

11.
This record from the Alexandria database describes a crystal of ZrTaSi2 relaxed with PBEsol. The functional is SCAN.

Values from the calculation:
DFT total energy in eV per atom: -29.7148
Crystal system: monoclinic
Formation energy (no corrections) in eV per atom: -0.386
Distance to the lowest polymorph of the same formula in meV per atom: 241.0

Lattice parameters (Å, degrees): 3.007 3.701 6.067 90.00 102.77 90.00
Space group P2/m (No. 10)
Asymmetric unit:
Zr 0.000 0.000 0.000 x1
Ta 0.000 0.000 0.500 x1
Si 0.473 0.500 0.279 x2

***

12.
This record from the Alexandria database describes a crystal of Si2RuPb relaxed with PBEsol. The functional is SCAN.

Values from the calculation:
DFT total energy in eV per atom: -31.9027
Crystal system: monoclinic
Formation energy (no corrections) in eV per atom: 0.757

Lattice parameters (Å, degrees): 5.355 9.981 3.174 90.00 125.78 90.00
Space group C2/m (No. 12)
Asymmetric unit:
Si 0.250 0.250 0.000 x4
Ru 0.000 0.000 0.000 x2
Pb 0.000 0.500 0.000 x2